Compound: Sr3Sn5F12
Source: Alexandria
Functional: PBE
Structure: relaxed

Cell: 14.7082 14.7082 14.7082 Å, 90.00 90.00 90.00°
Space group Ia-3d (No. 230)
Inequivalent atoms, fractional coordinates:
Sr 0.0000 0.2500 0.1250 (multiplicity 24)
Sn 0.0000 0.0000 0.0000 (multiplicity 16)
Sn 0.0000 0.2500 0.3750 (multiplicity 24)
F 0.0020 0.0641 0.6584 (multiplicity 96)

Output
Uncorrected formation energy (eV/atom): -2.414
Volume (A^3/atom): 19.9
Total magnetization (μB per formula unit): 0.000